No. 1
First-principles (PBE) data for crystalline ErSi2Tc4 at its relaxed geometry, as listed in the Alexandria database.

Cell: 4.1028 13.7372 4.0728 Å, 90.00 90.00 90.00°
Last column: nearest neighbours and their distance in Å.
Space group Cmmm (No. 65)
Inequivalent atoms, fractional coordinates:
Er 0.0000 0.0000 0.0000 x2  8 Si 3.13, 8 Tc 3.29-3.37
Si 0.0000 0.4126 0.5000 x4  1 Si 2.40, 4 Tc 2.47-2.51
Tc 0.0000 0.1882 0.5000 x4  2 Si 2.47, 4 Tc 2.60-2.66
Tc 0.0000 0.3055 0.0000 x4  2 Si 2.51, 4 Tc 2.56-2.60

Calculated values
**Energy relative to the elements, uncorrected**: -0.514 eV/atom
**Total magnetization**: 0.0 μB per formula unit
**DOS at the Fermi energy**: 0.750 states/eV/atom
**Energy**: -8.639 eV/atom



No. 2
First-principles (PBE) data for crystalline Ca4OsW at its relaxed geometry, as listed in the Alexandria database.

Cell: 8.3754 8.3754 8.3754 Å, 90.00 90.00 90.00°
Last column: nearest neighbours and their distance in Å.
Space group F-43m (No. 216)
Inequivalent atoms, fractional coordinates:
Ca 0.1244 0.1244 0.1244 x16  6 Ca 2.95-2.97
Os 0.2500 0.2500 0.7500 x4  12 Ca 3.47, 4 W 3.63
W 0.0000 0.0000 0.5000 x4  12 Ca 3.47, 4 Os 3.63

Calculated values
**Energy of formation from the pure elements**: 1.597 eV/atom
**Total magnetization**: 3.8 μB per formula unit
**DOS at the Fermi energy**: 1.507 states/eV/atom
**Energy**: -3.768 eV/atom



No. 3
First-principles (PBE) data for crystalline InI2 at its relaxed geometry, as listed in the Alexandria database.

Cell: 8.5742 11.3195 11.4877 Å, 90.00 90.00 90.00°
Last column: nearest neighbours and their distance in Å.
Space group Pnna (No. 52)
Inequivalent atoms, fractional coordinates:
In 0.1444 0.2500 0.2500 x4  8 I 3.56-3.86
In 0.2500 0.0000 0.6772 x4  4 I 2.77
I 0.0094 0.5426 0.3149 x8  1 In 2.77
I 0.1585 0.6929 0.9540 x8  1 In 2.77

Calculated values
**Energy relative to the elements, uncorrected**: -0.499 eV/atom
**Total magnetization**: 0.0 μB per formula unit
**DOS at the Fermi energy**: 0.000 states/eV/atom
**Energy**: -2.445 eV/atom



No. 4
First-principles (PBE) data for crystalline K4RbBa at its relaxed geometry, as listed in the Alexandria database.

Cell: 4.4814 44.9366 8.7088 Å, 90.00 90.00 90.00°
Last column: nearest neighbours and their distance in Å.
Space group Cmcm (No. 63)
Inequivalent atoms, fractional coordinates:
K 0.0000 0.0000 0.0000 x4  8 K 4.35-4.84, 4 Rb 4.87
K 0.0000 0.1661 0.0039 x8  4 K 4.29-4.48, 3 Ba 4.52-4.75
K 0.0000 0.4176 0.7500 x4  2 Rb 4.35, 10 K 4.48-4.87
Rb 0.0000 0.4170 0.2500 x4  6 K 4.35-4.87, 2 Rb 4.48
Ba 0.0000 0.2537 0.7500 x4  6 Ba 4.48-4.91, 6 K 4.52-4.75

Calculated values
**Energy of formation from the pure elements**: 0.055 eV/atom
**Total magnetization**: 0.0 μB per formula unit
**DOS at the Fermi energy**: 0.991 states/eV/atom
**Energy**: -1.158 eV/atom



No. 5
First-principles (PBE) data for crystalline TlCd2Os at its relaxed geometry, as listed in the Alexandria database.

Cell: 3.6065 3.6065 6.1552 Å, 90.00 90.00 90.00°
Last column: nearest neighbours and their distance in Å.
Space group P4mm (No. 99)
Inequivalent atoms, fractional coordinates:
Tl 0.0000 0.0000 0.0000 x1  5 Cd 2.88-3.09, 4 Os 2.93
Cd 0.0000 0.0000 0.5326 x1  1 Tl 2.88, 4 Os 2.93, 4 Cd 2.98
Cd 0.5000 0.5000 0.2837 x1  2 Os 2.97-3.18, 4 Cd 2.98, 4 Tl 3.09
Os 0.5000 0.5000 0.7663 x1  4 Tl 2.93, 6 Cd 2.93-3.18

Calculated values
**Energy of formation from the pure elements**: 0.655 eV/atom
**Total magnetization**: 0.0 μB per formula unit
**DOS at the Fermi energy**: 0.579 states/eV/atom
**Energy**: -3.202 eV/atom



No. 6
First-principles (PBE) data for crystalline Mg2NiOs at its relaxed geometry, as listed in the Alexandria database.

Cell: 3.8853 3.8853 7.8488 Å, 90.00 90.00 90.00°
Last column: nearest neighbours and their distance in Å.
Space group I4/mmm (No. 139)
Inequivalent atoms, fractional coordinates:
Mg 0.0000 0.5000 0.2500 x4  4 Mg 2.75, 4 Ni 2.76, 4 Os 2.76
Ni 0.0000 0.0000 0.0000 x2  4 Os 2.75, 8 Mg 2.76
Os 0.0000 0.0000 0.5000 x2  4 Ni 2.75, 8 Mg 2.76

Calculated values
**Energy of formation from the pure elements**: 0.191 eV/atom
**Total magnetization**: 0.5 μB per formula unit
**DOS at the Fermi energy**: 0.881 states/eV/atom
**Energy**: -4.859 eV/atom